# 1
Material: Pm12YIn4O3
Method: DFT, PBE-GGA
State: relaxed

extended XYZ file:
```
20
Lattice="-5.123 5.123 5.123 5.123 -5.123 5.123 5.123 5.123 -5.123" Properties=species:S:1:pos:R:3 pbc="T T T"
Pm 2.819 0.000 0.000
Pm 7.427 0.000 0.000
Pm 5.123 2.561 0.000
Pm 5.123 0.000 2.561
Pm 0.000 2.819 0.000
Pm 0.000 0.000 2.819
Pm 2.561 5.123 0.000
Pm 2.561 0.000 5.123
Pm 0.000 7.427 0.000
Pm 0.000 0.000 7.427
Pm 0.000 5.123 2.561
Pm 0.000 2.561 5.123
Y 0.000 0.000 0.000
In 2.561 2.561 -2.561
In 2.561 -2.561 2.561
In -2.561 2.561 2.561
In 2.561 2.561 2.561
O 5.123 0.000 0.000
O 0.000 5.123 0.000
O 0.000 0.000 5.123
```

## Properties
Final energy: -5.252 eV per atom
Magnetization: 0.000 μB/cell
Symmetry: No. 229

---

# 2
Material: PmY2InO
Method: DFT, PBE-GGA
State: relaxed

extended XYZ file:
```
5
Lattice="4.800 0.000 0.000 0.000 4.800 0.000 0.000 0.000 4.945" Properties=species:S:1:pos:R:3 pbc="T T T"
Pm 0.000 0.000 0.000
Y 0.000 2.400 2.473
Y 2.400 0.000 2.473
In 2.400 2.400 0.000
O 0.000 0.000 2.473
```

## Properties
Final energy: -6.501 eV per atom
Magnetization: 0.000 μB/cell
Symmetry: No. 123

---

# 3
Material: PrInO3
Method: DFT, PBE-GGA
State: relaxed

extended XYZ file:
```
10
Lattice="5.820 -1.907 0.000 5.820 1.907 0.000 -3.536 0.000 8.903" Properties=species:S:1:pos:R:3 pbc="T T T"
Pr 0.843 0.000 2.964
Pr 7.260 0.000 5.939
In 4.249 0.000 0.016
In 3.854 0.000 8.887
O 0.336 0.000 5.220
O 2.213 0.000 0.785
O 2.373 0.000 7.420
O 5.731 0.000 1.483
O 5.890 0.000 8.117
O 7.767 0.000 3.682
```

## Properties
Final energy: -6.785 eV per atom
Magnetization: 0.000 μB/cell
Symmetry: No. 12

---

# 4
Material: Pr3InO
Method: DFT, PBE-GGA
State: relaxed

extended XYZ file:
```
5
Lattice="5.031 0.000 0.000 0.000 5.031 0.000 0.000 0.000 5.031" Properties=species:S:1:pos:R:3 pbc="T T T"
Pr 0.000 0.000 2.516
Pr 0.000 2.516 0.000
Pr 2.516 0.000 0.000
In 2.516 2.516 2.516
O 0.000 0.000 0.000
```

## Properties
Final energy: -5.797 eV per atom
Magnetization: 0.000 μB/cell
Symmetry: No. 221